# 1
Density functional theory data (PBE) for a geometry-optimized Tb3Zn4 structure.

a = 8.3275 Å, b = 8.3253 Å, c = 5.1398 Å
α = 90.00°, β = 90.00°, γ = 59.99°
Fractional positions:
1 Zn 0.1426 0.2859 0.0000
2 Tb 0.6770 0.7015 0.5000
3 Zn 0.1000 0.4992 0.5000
4 Zn 0.8525 0.7387 0.0000
5 Zn 0.8096 0.9523 0.5000
6 Tb 0.3937 0.9025 0.0000
7 Tb 0.2754 0.5366 0.0000
8 Tb 0.7594 0.4181 0.0000
9 Tb 0.1929 0.8199 0.5000
10 Zn 0.5962 0.1227 0.0000
11 Zn 0.9801 0.9951 0.0000
12 Zn 0.3562 0.1154 0.5000
13 Zn 0.9723 0.2428 0.5000
14 Tb 0.5586 0.3357 0.5000

=====

# 2
Density functional theory data (PBE) for a geometry-optimized PmBeFe structure.

a = 4.2833 Å, b = 4.2833 Å, c = 4.2833 Å
α = 60.00°, β = 60.00°, γ = 60.00°
Fractional positions:
1 Pm 0.7500 0.7500 0.7500
2 Fe 0.0000 0.0000 0.0000
3 Be 0.2500 0.2500 0.2500

=====

# 3
Density functional theory data (PBE) for a geometry-optimized Sr2AlOsN6 structure.

a = 5.5313 Å, b = 5.5313 Å, c = 5.5313 Å
α = 120.05°, β = 120.05°, γ = 89.91°
Fractional positions:
1 Sr 0.2500 0.7500 0.5000
2 N 0.7503 0.2497 0.0000
3 Os 0.5000 0.5000 0.0000
4 Al 0.0000 0.0000 0.0000
5 N 0.7501 0.7501 0.0000
6 N 0.2497 0.7503 0.0000
7 Sr 0.7500 0.2500 0.5000
8 N 0.2499 0.2499 0.0000
9 N 0.7503 0.7503 0.5006
10 N 0.2497 0.2497 0.4994

=====

no.,electronic total energy (eV per atom)
1,-2.80
2,-4.97
3,-6.83